VASP calculation (PBE with a Hubbard U) on a relaxed structure of FeCoI2O.

a = 5.6816 Å, b = 5.6816 Å, c = 3.7079 Å
α = 90.00°, β = 90.00°, γ = 90.00°
Last column: nearest neighbours and their distance in Å.
Fractional positions:
Fe: 0.0000 0.0000 0.0000  2 O 1.85
Co: 0.5000 0.5000 0.5000  8 I 3.39, 2 Co 3.71
I: 0.0000 0.5000 0.0000  2 Fe 2.84
I: 0.5000 0.0000 0.0000  2 Fe 2.84
O: 0.0000 0.0000 0.5000  2 Fe 1.85

Energy above the lowest structure with this stoichiometry (meV per atom): 34
Crystal system: tetragonal
N(E_F) (states/eV per atom): 0.6834
Total DFT energy (no corrections) (eV for the cell shown): -18.2
Space group: No. 123